# 1
DFT (PBE-GGA) results for Np2SbN after structural relaxation.

Output
**Raw total energy**: -9.8100 eV/atom
**Offset from the most stable computed form**: 448 meV/atom
**Energy relative to the elements, uncorrected**: -228 meV/atom
**SG**: P4/mmm, No. 123

Structure (POSCAR):
```
Np2SbN
1.0
3.1557 0.0000 0.0000
0.0000 3.1557 0.0000
0.0000 0.0000 7.7344
Np Sb N
2 1 1
Direct
0.0000 0.0000 0.1840
0.0000 0.0000 0.8160
0.5000 0.5000 0.5000
0.5000 0.5000 0.0000
```



# 2
DFT (PBE-GGA) results for Sm2NpSb2N2 after structural relaxation.

Output
**Raw total energy**: -7.7207 eV/atom
**Energy relative to the elements, uncorrected**: -967 meV/atom
**SG**: I4/mmm, No. 139

Structure (POSCAR):
```
Sm2NpSb2N2
1.0
-2.1587 2.1587 8.1277
2.1587 -2.1587 8.1277
2.1587 2.1587 -8.1277
Sm Np Sb N
2 1 2 2
Direct
0.1116 0.1116 0.0000
0.8884 0.8884 0.0000
0.5000 0.5000 0.0000
0.3107 0.3107 0.0000
0.6893 0.6893 0.0000
0.0000 0.5000 0.5000
0.5000 0.0000 0.5000
```



# 3
DFT (PBE-GGA) results for Sm2NpSbN5 after structural relaxation.

Output
**Raw total energy**: -8.3153 eV/atom
**Energy relative to the elements, uncorrected**: -746 meV/atom
**SG**: Cmc2_1, No. 36

Structure (POSCAR):
```
Sm2NpSbN5
1.0
1.7467 -7.1011 0.0000
1.7467 7.1011 0.0000
0.0000 0.0000 10.6737
Sm Np Sb N
4 2 2 10
Direct
0.1147 0.8853 0.5000
0.1381 0.8619 0.0840
0.8619 0.1381 0.5840
0.8853 0.1147 0.0000
0.2168 0.7832 0.8058
0.7832 0.2168 0.3058
0.4855 0.5145 0.2692
0.5145 0.4855 0.7692
0.0529 0.9471 0.8625
0.2825 0.7175 0.4433
0.3050 0.6950 0.1717
0.3714 0.6286 0.8111
0.4943 0.5057 0.5809
0.5057 0.4943 0.0809
0.6286 0.3714 0.3111
0.6950 0.3050 0.6717
0.7175 0.2825 0.9433
0.9471 0.0529 0.3625
```



# 4
DFT (PBE-GGA) results for Np2SnSb2N2 after structural relaxation.

Output
**Raw total energy**: -8.1399 eV/atom
**Energy relative to the elements, uncorrected**: -314 meV/atom
**SG**: P-3m1, No. 164

Structure (POSCAR):
```
Np2SnSb2N2
1.0
3.6870 0.0000 0.0000
-1.8435 3.1930 0.0000
0.0000 0.0000 13.3218
Np Sn Sb N
2 1 2 2
Direct
0.3333 0.6667 0.2913
0.6667 0.3333 0.7087
0.0000 0.0000 0.5000
0.0000 0.0000 0.1057
0.0000 0.0000 0.8943
0.3333 0.6667 0.6981
0.6667 0.3333 0.3019
```



# 5
DFT (PBE-GGA) results for Tb2NpSbN5 after structural relaxation.

Output
**Raw total energy**: -8.3387 eV/atom
**Energy relative to the elements, uncorrected**: -789 meV/atom
**SG**: Cmc2_1, No. 36

Structure (POSCAR):
```
Tb2NpSbN5
1.0
1.7182 -6.9832 0.0000
1.7182 6.9832 0.0000
0.0000 0.0000 11.3143
Tb Np Sb N
4 2 2 10
Direct
0.1297 0.8703 0.5000
0.1338 0.8662 0.0184
0.8662 0.1338 0.5184
0.8703 0.1297 0.0000
0.2390 0.7610 0.7708
0.7610 0.2390 0.2708
0.4987 0.5013 0.2516
0.5013 0.4987 0.7516
0.0705 0.9295 0.8048
0.2738 0.7262 0.1351
0.2813 0.7187 0.4028
0.3836 0.6164 0.8542
0.4828 0.5172 0.5740
0.5172 0.4828 0.0740
0.6164 0.3836 0.3542
0.7187 0.2813 0.9028
0.7262 0.2738 0.6351
0.9295 0.0705 0.3048
```



# 6
DFT (PBE-GGA) results for ThNpSbN2 after structural relaxation.

Output
**Raw total energy**: -9.4739 eV/atom
**Energy relative to the elements, uncorrected**: -1247 meV/atom
**SG**: I4mm, No. 107

Structure (POSCAR):
```
ThNpSbN2
1.0
-1.9710 1.9710 6.5101
1.9710 -1.9710 6.5101
1.9710 1.9710 -6.5101
Th Np Sb N
1 1 1 2
Direct
0.0000 0.0000 0.0000
0.6788 0.6788 0.0000
0.3348 0.3348 0.0000
0.0991 0.5991 0.5000
0.5991 0.0991 0.5000
```



Which formula does entry 3 have?
Sm2NpSbN5



Please write out number 3 again, unchanged.
DFT (PBE-GGA) results for Sm2NpSbN5 after structural relaxation.

Output
**Raw total energy**: -8.3153 eV/atom
**Energy relative to the elements, uncorrected**: -746 meV/atom
**SG**: Cmc2_1, No. 36

Structure (POSCAR):
```
Sm2NpSbN5
1.0
1.7467 -7.1011 0.0000
1.7467 7.1011 0.0000
0.0000 0.0000 10.6737
Sm Np Sb N
4 2 2 10
Direct
0.1147 0.8853 0.5000
0.1381 0.8619 0.0840
0.8619 0.1381 0.5840
0.8853 0.1147 0.0000
0.2168 0.7832 0.8058
0.7832 0.2168 0.3058
0.4855 0.5145 0.2692
0.5145 0.4855 0.7692
0.0529 0.9471 0.8625
0.2825 0.7175 0.4433
0.3050 0.6950 0.1717
0.3714 0.6286 0.8111
0.4943 0.5057 0.5809
0.5057 0.4943 0.0809
0.6286 0.3714 0.3111
0.6950 0.3050 0.6717
0.7175 0.2825 0.9433
0.9471 0.0529 0.3625
```